A plane-wave DFT calculation with PBE was carried out for an optimized crystal structure of Si2HN.

a b c (Å): 5.131 5.131 5.131
angles (deg): 128.23 128.23 76.25
Fractional positions:
Si1 0.118 0.625 0.993
Si2 0.375 0.368 0.493
Si3 0.632 0.125 0.007
Si4 0.875 0.882 0.507
H1 0.000 0.000 0.000
H2 0.750 0.250 0.500
N1 0.250 0.750 0.500
N2 0.500 0.500 0.000

- Calculated total energy: -5.26 eV per atom
- Crystal system: tetragonal
- Distance to the lowest polymorph of the same formula: 0.000 eV per atom
- Space-group type: I-42d (122)
- DOS at the Fermi energy: 0.084 states/eV per cell